Entry 1:
## Sr2LaMg (meta-GGA SCAN)

Data for Sr2LaMg at its PBEsol-relaxed geometry.

Lattice parameters (Å, degrees): 3.973 3.973 10.062 90.00 90.00 90.00
Fractional positions:
1 Sr 0.000 0.000 0.000
2 Sr 0.500 0.500 0.320
3 La 0.000 0.000 0.600
4 Mg 0.500 0.500 0.784

## Properties
Crystal system ... tetragonal
Magnetization ... 0.20 μB/atom
Total DFT energy (no corrections) ... -23.149 eV per atom
Symmetry ... P4mm
ΔH_f (0 K) ... 1 kJ per mole of atoms

=====

Entry 2:
## SrLa2Mg (meta-GGA SCAN)

Data for SrLa2Mg at its PBEsol-relaxed geometry.

Lattice parameters (Å, degrees): 3.771 3.771 9.923 90.00 90.00 90.00
Fractional positions:
1 Sr 0.000 0.000 0.000
2 La 0.000 0.000 0.544
3 La 0.500 0.500 0.304
4 Mg 0.500 0.500 0.760

## Properties
Crystal system ... tetragonal
Magnetization ... 0.03 μB/atom
Total DFT energy (no corrections) ... -28.363 eV per atom
Symmetry ... P4mm
ΔH_f (0 K) ... 0 kJ per mole of atoms

=====

Entry 3:
## Sr2LaYMg (meta-GGA SCAN)

Data for Sr2LaYMg at its PBEsol-relaxed geometry.

Lattice parameters (Å, degrees): 6.058 6.058 5.992 90.00 90.00 90.00
Fractional positions:
1 Sr 0.000 0.500 0.000
2 Sr 0.500 0.000 0.000
3 La 0.000 0.000 0.500
4 Y 0.500 0.500 0.500
5 Mg 0.000 0.000 0.000

## Properties
Crystal system ... tetragonal
Magnetization ... 0.45 μB/atom
Total DFT energy (no corrections) ... -23.522 eV per atom
Symmetry ... P4/mmm
ΔH_f (0 K) ... 55 kJ per mole of atoms

=====

Entry 4:
## LaMg2Ta (meta-GGA SCAN)

Data for LaMg2Ta at its PBEsol-relaxed geometry.

Lattice parameters (Å, degrees): 5.048 5.048 5.048 60.00 60.00 60.00
Fractional positions:
1 La 0.000 0.000 0.000
2 Mg 0.250 0.250 0.250
3 Mg 0.750 0.750 0.750
4 Ta 0.500 0.500 0.500

## Properties
Crystal system ... cubic
Magnetization ... 0.13 μB/atom
Total DFT energy (no corrections) ... -29.438 eV per atom
Symmetry ... Fm-3m
ΔH_f (0 K) ... 45 kJ per mole of atoms
Excess energy over the best structure of this formula in the dataset ... 149 meV/atom

=====

Entry 5:
## LaMg2Ta (meta-GGA SCAN)

Data for LaMg2Ta at its PBEsol-relaxed geometry.

Lattice parameters (Å, degrees): 6.432 6.432 6.432 151.38 133.22 55.76
Fractional positions:
1 La 0.000 0.000 0.000
2 Mg 0.277 0.777 0.500
3 Mg 0.723 0.223 0.500
4 Ta 0.500 0.500 0.000

## Properties
Crystal system ... orthorhombic
Magnetization ... 0.00 μB/atom
Total DFT energy (no corrections) ... -29.587 eV per atom
Symmetry ... Immm
ΔH_f (0 K) ... 31 kJ per mole of atoms
Excess energy over the best structure of this formula in the dataset ... 0 meV/atom

=====

Entry 6:
## LaMgTa (meta-GGA SCAN)

Data for LaMgTa at its PBEsol-relaxed geometry.

Lattice parameters (Å, degrees): 7.914 7.914 7.914 158.02 158.02 31.29
Fractional positions:
1 La 0.000 0.000 0.000
2 Mg 0.694 0.694 0.000
3 Ta 0.336 0.336 0.000

## Properties
Crystal system ... tetragonal
Magnetization ... 0.00 μB/atom
Total DFT energy (no corrections) ... -37.873 eV per atom
Symmetry ... I4mm
ΔH_f (0 K) ... 34 kJ per mole of atoms
Excess energy over the best structure of this formula in the dataset ... 0 meV/atom

=====

Entry 7:
## LaMgTa (meta-GGA SCAN)

Data for LaMgTa at its PBEsol-relaxed geometry.

Lattice parameters (Å, degrees): 4.920 4.920 4.920 60.00 60.00 60.00
Fractional positions:
1 La 0.000 0.000 0.000
2 Mg 0.750 0.750 0.750
3 Ta 0.250 0.250 0.250

## Properties
Crystal system ... cubic
Magnetization ... 0.70 μB/atom
Total DFT energy (no corrections) ... -36.777 eV per atom
Symmetry ... F-43m
ΔH_f (0 K) ... 139 kJ per mole of atoms
Excess energy over the best structure of this formula in the dataset ... 1096 meV/atom

=====

Entry 8:
## LaMg2Ta (meta-GGA SCAN)

Data for LaMg2Ta at its PBEsol-relaxed geometry.

Lattice parameters (Å, degrees): 3.196 5.082 5.580 90.00 90.00 90.00
Fractional positions:
1 La 0.000 0.000 0.000
2 Mg 0.000 0.500 0.500
3 Mg 0.500 0.000 0.500
4 Ta 0.500 0.500 0.000

## Properties
Crystal system ... orthorhombic
Magnetization ... 0.00 μB/atom
Total DFT energy (no corrections) ... -29.500 eV per atom
Symmetry ... Pmmm
ΔH_f (0 K) ... 39 kJ per mole of atoms
Excess energy over the best structure of this formula in the dataset ... 87 meV/atom

=====

Entry 9:
## LaMg2Ta (meta-GGA SCAN)

Data for LaMg2Ta at its PBEsol-relaxed geometry.

Lattice parameters (Å, degrees): 11.359 11.359 11.359 15.44 15.44 15.44
Fractional positions:
1 La 0.000 0.000 0.000
2 Mg 0.241 0.241 0.241
3 Mg 0.759 0.759 0.759
4 Ta 0.500 0.500 0.500

## Properties
Crystal system ... trigonal
Magnetization ... 0.00 μB/atom
Total DFT energy (no corrections) ... -29.577 eV per atom
Symmetry ... R-3m
ΔH_f (0 K) ... 32 kJ per mole of atoms
Excess energy over the best structure of this formula in the dataset ... 9 meV/atom

=====

Entry 10:
## LaMg2Ta (meta-GGA SCAN)

Data for LaMg2Ta at its PBEsol-relaxed geometry.

Lattice parameters (Å, degrees): 4.385 4.385 4.781 90.00 90.00 90.00
Fractional positions:
1 La 0.000 0.000 0.000
2 Mg 0.000 0.500 0.500
3 Mg 0.500 0.000 0.500
4 Ta 0.500 0.500 0.000

## Properties
Crystal system ... tetragonal
Magnetization ... 0.00 μB/atom
Total DFT energy (no corrections) ... -29.431 eV per atom
Symmetry ... P4/mmm
ΔH_f (0 K) ... 46 kJ per mole of atoms
Excess energy over the best structure of this formula in the dataset ... 156 meV/atom

=====

Entry 11:
## LaMg2Tc (meta-GGA SCAN)

Data for LaMg2Tc at its PBEsol-relaxed geometry.

Lattice parameters (Å, degrees): 5.614 5.614 3.026 90.00 90.00 120.41
Fractional positions:
1 La 0.000 0.000 0.000
2 Mg 0.000 0.500 0.500
3 Mg 0.500 0.000 0.500
4 Tc 0.500 0.500 0.000

## Properties
Crystal system ... orthorhombic
Magnetization ... 0.00 μB/atom
Total DFT energy (no corrections) ... -21.642 eV per atom
Symmetry ... Cmmm
ΔH_f (0 K) ... 37 kJ per mole of atoms
Excess energy over the best structure of this formula in the dataset ... 62 meV/atom

=====

Entry 12:
## La2MgTc (meta-GGA SCAN)

Data for La2MgTc at its PBEsol-relaxed geometry.

Lattice parameters (Å, degrees): 5.024 5.024 5.024 60.00 60.00 60.00
Fractional positions:
1 La 0.000 0.000 0.000
2 La 0.250 0.250 0.250
3 Mg 0.500 0.500 0.500
4 Tc 0.750 0.750 0.750

## Properties
Crystal system ... cubic
Magnetization ... 0.00 μB/atom
Total DFT energy (no corrections) ... -31.310 eV per atom
Symmetry ... F-43m
ΔH_f (0 K) ... 24 kJ per mole of atoms

=====

Entry 13:
## LaMg2Tc (meta-GGA SCAN)

Data for LaMg2Tc at its PBEsol-relaxed geometry.

Lattice parameters (Å, degrees): 9.984 9.984 9.984 18.86 18.86 18.86
Fractional positions:
1 La 0.000 0.000 0.000
2 Mg 0.227 0.227 0.227
3 Mg 0.470 0.470 0.470
4 Tc 0.735 0.735 0.735

## Properties
Crystal system ... trigonal
Magnetization ... 0.00 μB/atom
Total DFT energy (no corrections) ... -21.705 eV per atom
Symmetry ... R3m
ΔH_f (0 K) ... 31 kJ per mole of atoms
Excess energy over the best structure of this formula in the dataset ... 0 meV/atom

=====

Entry 14:
## LaMg2Tc (meta-GGA SCAN)

Data for LaMg2Tc at its PBEsol-relaxed geometry.

Lattice parameters (Å, degrees): 10.788 10.788 10.788 15.99 15.99 15.99
Fractional positions:
1 La 0.000 0.000 0.000
2 Mg 0.236 0.236 0.236
3 Mg 0.764 0.764 0.764
4 Tc 0.500 0.500 0.500

## Properties
Crystal system ... trigonal
Magnetization ... 0.00 μB/atom
Total DFT energy (no corrections) ... -21.684 eV per atom
Symmetry ... R-3m
ΔH_f (0 K) ... 33 kJ per mole of atoms
Excess energy over the best structure of this formula in the dataset ... 21 meV/atom